Computed, not measured: a PBEsol-optimized structure of SmDy2S4 at the SCAN level of DFT.

Structure (POSCAR):
```
SmDy2S4
1.0
-4.183 4.183 4.015
4.183 -4.183 4.015
4.183 4.183 -4.015
Sm Dy S
2 4 8
Direct
0.000 0.000 0.000
0.750 0.250 0.500
0.225 0.125 0.600
0.375 0.775 0.900
0.525 0.625 0.400
0.875 0.475 0.100
0.126 0.383 0.396
0.133 0.376 0.896
0.270 0.874 0.257
0.480 0.237 0.104
0.617 0.013 0.743
0.624 0.520 0.757
0.763 0.867 0.243
0.987 0.730 0.604
```

Magnetic moment (μB/cell): 0.0
E_form (uncorrected) (eV/atom): -2.2674